A plane-wave DFT calculation with PBE was carried out for Li2TcRh after structural relaxation.

a = 2.792 Å, b = 2.792 Å, c = 7.479 Å
α = 90.00°, β = 90.00°, γ = 90.00°
Atoms (fractional coordinates):
Li 0.000 0.000 0.000
Li 0.500 0.500 0.274
Tc 0.500 0.500 0.735
Rh 0.000 0.000 0.508

The calculation puts the uncorrected energy at -21.29 eV for the cell shown. The calculation puts the calculated formation energy at 6 kJ per mole of atoms. The calculation puts the distance to the lowest polymorph of the same formula at 0.130 eV per formula unit. The density of states at the Fermi level comes out at 4.2 states/eV/f.u.